{
  "formula": "CaCr2Co",
  "functional": "GGA-PBE",
  "state": "optimized geometry",
  "formation_energy_ev_per_atom": 0.9904,
  "dos_ef_per_ev_atom": 1.459,
  "de_polymorph_mev_per_atom": 547,
  "lattice": [[-0.018, -4.343, 0.127], [2.336, 0.098, 3.663], [-5.676, -1.968, 6.250]],
  "species": ["Cr", "Cr", "Co", "Ca", "Cr", "Ca", "Co", "Cr"],
  "fractional_positions": [[0.875, 0.141, 0.750], [0.375, 0.109, 0.750], [0.000, 0.000, 0.000], [0.500, 0.500, 0.000], [0.891, 0.125, 0.250], [0.250, 0.750, 0.500], [0.750, 0.250, 0.500], [0.859, 0.625, 0.250]]
}

***

{
  "formula": "CaCr2Co",
  "functional": "GGA-PBE",
  "state": "optimized geometry",
  "formation_energy_ev_per_atom": 0.5962,
  "dos_ef_per_ev_atom": 1.280,
  "de_polymorph_mev_per_atom": 152,
  "lattice": [[-1.106, 1.707, 2.519], [1.449, -2.062, 2.033], [5.400, 3.677, -0.120]],
  "species": ["Cr", "Cr", "Co", "Ca"],
  "fractional_positions": [[0.000, 0.000, 0.603], [0.000, 0.000, 0.897], [0.500, 0.500, 0.750], [0.500, 0.500, 0.250]]
}